# PBE LaErH, relaxed
data_LaErH
_chemical_formula_sum 'La1 Er1 H1'
_cell_length_a 6.619
_cell_length_b 6.619
_cell_length_c 6.619
_cell_angle_alpha 149.59
_cell_angle_beta 149.59
_cell_angle_gamma 43.54
_symmetry_space_group_name_H-M 'P 1'
_symmetry_Int_Tables_number 1
loop_
_symmetry_equiv_pos_as_xyz
'x,y,z'
loop_
_atom_site_label
_atom_site_type_symbol
_atom_site_fract_x
_atom_site_fract_y
_atom_site_fract_z
_atom_site_occupancy
La1 La 0.000 0.000 0.000 1
Er1 Er 0.289 0.289 0.000 1
H1 H 0.468 0.468 0.000 1
# Uncorrected energy = -4.396 eV/atom
# Symmetry = I4mm
# Theoretical density = 6.9 g/cm3